Entry 1:
VASP calculation (PBE) on a relaxed Th2BeRh6 crystal.

Geometry as POSCAR:
```
Th2BeRh6
1.0
0.000 4.217 4.217
4.217 0.000 4.217
4.217 4.217 0.000
Th Be Rh
2 1 6
direct
0.250 0.250 0.250
0.750 0.750 0.750
0.000 0.000 0.000
0.262 0.262 0.738
0.262 0.738 0.262
0.262 0.738 0.738
0.738 0.262 0.262
0.738 0.262 0.738
0.738 0.738 0.262
```

Calculated values
SG	No. 225
final energy	-7.777	eV/atom
energy relative to the elements	-0.813	eV per atom

Entry 2:
VASP calculation (PBE) on a relaxed ThBeRh2 crystal.

Geometry as POSCAR:
```
ThBeRh2
1.0
3.931 0.000 0.000
-1.966 3.405 0.000
0.000 0.000 15.490
Th Be Rh
3 3 6
direct
0.000 0.000 0.000
0.333 0.667 0.667
0.667 0.333 0.333
0.000 0.000 0.500
0.333 0.667 0.167
0.667 0.333 0.833
0.000 0.000 0.218
0.000 0.000 0.782
0.333 0.667 0.448
0.333 0.667 0.885
0.667 0.333 0.115
0.667 0.333 0.552
```

Calculated values
SG	No. 166
final energy	-7.180	eV/atom
energy relative to the elements	-0.718	eV per atom

Entry 3:
VASP calculation (PBE) on a relaxed ThBeRh2 crystal.

Geometry as POSCAR:
```
ThBeRh2
1.0
4.140 0.000 0.000
0.000 16.553 0.000
0.000 0.000 4.044
Th Be Rh
4 4 8
direct
0.000 0.138 0.000
0.000 0.862 0.000
0.500 0.362 0.000
0.500 0.638 0.000
0.000 0.434 0.500
0.000 0.566 0.500
0.500 0.066 0.500
0.500 0.934 0.500
0.000 0.000 0.500
0.000 0.301 0.500
0.000 0.500 0.000
0.000 0.699 0.500
0.500 0.000 0.000
0.500 0.199 0.500
0.500 0.500 0.500
0.500 0.801 0.500
```

Calculated values
SG	No. 65
final energy	-7.227	eV/atom
energy relative to the elements	-0.765	eV per atom

Entry 4:
VASP calculation (PBE) on a relaxed Th2BeRh5 crystal.

Geometry as POSCAR:
```
Th2BeRh5
1.0
7.266 0.000 0.000
0.000 5.974 0.000
0.000 0.000 13.052
Th Be Rh
8 4 20
direct
0.008 0.250 0.194
0.169 0.750 0.423
0.331 0.250 0.923
0.492 0.750 0.694
0.508 0.250 0.306
0.669 0.750 0.077
0.831 0.250 0.577
0.992 0.750 0.806
0.188 0.750 0.064
0.312 0.250 0.564
0.688 0.750 0.436
0.812 0.250 0.936
0.000 0.000 0.000
0.000 0.500 0.000
0.001 0.750 0.201
0.154 0.250 0.422
0.156 0.505 0.643
0.156 0.995 0.643
0.344 0.005 0.143
0.344 0.495 0.143
0.346 0.750 0.922
0.499 0.250 0.701
0.500 0.000 0.500
0.500 0.500 0.500
0.501 0.750 0.299
0.654 0.250 0.078
0.656 0.505 0.857
0.656 0.995 0.857
0.844 0.005 0.357
0.844 0.495 0.357
0.846 0.750 0.578
0.999 0.250 0.799
```

Calculated values
SG	No. 62
final energy	-7.666	eV/atom
energy relative to the elements	-0.751	eV per atom

Entry 5:
VASP calculation (PBE) on a relaxed ThBeRh crystal.

Geometry as POSCAR:
```
ThBeRh
1.0
4.076 0.000 0.000
-2.038 3.530 0.000
0.000 0.000 3.957
Th Be Rh
1 1 1
direct
0.000 0.000 0.000
0.333 0.667 0.500
0.667 0.333 0.500
```

Calculated values
SG	No. 187
final energy	-6.737	eV/atom
energy relative to the elements	-0.571	eV per atom

Entry 6:
VASP calculation (PBE) on a relaxed ThTiBe2Rh5 crystal.

Geometry as POSCAR:
```
ThTiBe2Rh5
1.0
4.226 0.000 0.000
0.000 4.226 0.000
0.000 0.000 7.459
Th Ti Be Rh
1 1 2 5
direct
0.000 0.000 0.000
0.000 0.000 0.500
0.500 0.500 0.354
0.500 0.500 0.646
0.000 0.500 0.285
0.000 0.500 0.715
0.500 0.000 0.285
0.500 0.000 0.715
0.500 0.500 0.000
```

Calculated values
SG	No. 123
final energy	-7.295	eV/atom
energy relative to the elements	-0.681	eV per atom

Entry 7:
VASP calculation (PBE) on a relaxed TiBe9Rh2 crystal.

Geometry as POSCAR:
```
TiBe9Rh2
1.0
4.359 0.000 0.000
-2.179 3.775 0.000
0.000 0.000 13.789
Ti Be Rh
2 18 4
direct
0.333 0.667 0.250
0.667 0.333 0.750
0.000 0.000 0.000
0.000 0.000 0.250
0.000 0.000 0.500
0.000 0.000 0.750
0.169 0.339 0.622
0.169 0.339 0.878
0.169 0.831 0.622
0.169 0.831 0.878
0.333 0.667 0.750
0.339 0.169 0.122
0.339 0.169 0.378
0.661 0.831 0.622
0.661 0.831 0.878
0.667 0.333 0.250
0.831 0.169 0.122
0.831 0.169 0.378
0.831 0.661 0.122
0.831 0.661 0.378
0.333 0.667 0.044
0.333 0.667 0.456
0.667 0.333 0.544
0.667 0.333 0.956
```

Calculated values
offset from the most stable computed form	0	meV/atom
SG	No. 194
final energy	-5.064	eV/atom
energy relative to the elements	-0.386	eV per atom

Entry 8:
VASP calculation (PBE) on a relaxed Ti2Be2Rh crystal.

Geometry as POSCAR:
```
Ti2Be2Rh
1.0
6.209 0.000 0.000
0.000 6.209 0.000
0.000 0.000 3.262
Ti Be Rh
4 4 2
direct
0.175 0.325 0.000
0.325 0.825 0.000
0.675 0.175 0.000
0.825 0.675 0.000
0.121 0.621 0.500
0.379 0.121 0.500
0.621 0.879 0.500
0.879 0.379 0.500
0.000 0.000 0.500
0.500 0.500 0.500
```

Calculated values
SG	No. 127
final energy	-6.569	eV/atom
energy relative to the elements	-0.450	eV per atom

Entry 9:
VASP calculation (PBE) on a relaxed Ti6BeRh12 crystal.

Geometry as POSCAR:
```
Ti6BeRh12
1.0
4.658 2.689 3.730
-4.658 2.689 3.730
0.000 -5.379 3.730
Ti Be Rh
6 1 12
direct
0.201 0.767 0.385
0.233 0.615 0.799
0.385 0.201 0.767
0.615 0.799 0.233
0.767 0.385 0.201
0.799 0.233 0.615
0.500 0.500 0.500
0.052 0.294 0.942
0.058 0.948 0.706
0.158 0.365 0.493
0.294 0.942 0.052
0.365 0.493 0.158
0.493 0.158 0.365
0.507 0.842 0.635
0.635 0.507 0.842
0.706 0.058 0.948
0.842 0.635 0.507
0.942 0.052 0.294
0.948 0.706 0.058
```

Calculated values
SG	No. 148
final energy	-7.885	eV/atom
energy relative to the elements	-0.553	eV per atom

Entry 10:
VASP calculation (PBE) on a relaxed Ti3BeRh4 crystal.

Geometry as POSCAR:
```
Ti3BeRh4
1.0
2.961 0.000 0.000
0.000 2.961 0.000
0.000 0.000 12.765
Ti Be Rh
3 1 4
direct
0.000 0.000 0.000
0.000 0.000 0.269
0.000 0.000 0.731
0.000 0.000 0.500
0.500 0.500 0.140
0.500 0.500 0.393
0.500 0.500 0.607
0.500 0.500 0.860
```

Calculated values
SG	No. 123
final energy	-7.852	eV/atom
energy relative to the elements	-0.750	eV per atom

Entry 11:
VASP calculation (PBE) on a relaxed Ti2Be2Rh3 crystal.

Geometry as POSCAR:
```
Ti2Be2Rh3
1.0
3.462 0.000 0.000
0.000 18.339 0.000
0.000 0.000 2.831
Ti Be Rh
4 4 6
direct
0.000 0.082 0.000
0.000 0.918 0.000
0.500 0.418 0.000
0.500 0.582 0.000
0.000 0.218 0.000
0.000 0.782 0.000
0.500 0.282 0.000
0.500 0.718 0.000
0.000 0.327 0.500
0.000 0.500 0.500
0.000 0.673 0.500
0.500 0.000 0.500
0.500 0.173 0.500
0.500 0.827 0.500
```

Calculated values
SG	No. 65
final energy	-7.113	eV/atom
energy relative to the elements	-0.642	eV per atom

Entry 12:
VASP calculation (PBE) on a relaxed TiBe9Rh2 crystal.

Geometry as POSCAR:
```
TiBe9Rh2
1.0
2.174 1.255 6.926
-2.174 1.255 6.926
0.000 -2.511 6.926
Ti Be Rh
1 9 2
direct
0.000 0.000 0.000
0.081 0.588 0.588
0.333 0.333 0.333
0.412 0.412 0.919
0.412 0.919 0.412
0.500 0.500 0.500
0.588 0.081 0.588
0.588 0.588 0.081
0.667 0.667 0.667
0.919 0.412 0.412
0.137 0.137 0.137
0.863 0.863 0.863
```

Calculated values
offset from the most stable computed form	4	meV/atom
SG	No. 166
final energy	-5.059	eV/atom
energy relative to the elements	-0.381	eV per atom

Entry 13:
VASP calculation (PBE) on a relaxed TiBe2Rh2 crystal.

Geometry as POSCAR:
```
TiBe2Rh2
1.0
3.085 0.000 0.000
0.000 3.085 0.000
0.000 0.000 13.136
Ti Be Rh
2 4 4
direct
0.000 0.000 0.000
0.500 0.500 0.500
0.000 0.500 0.250
0.000 0.500 0.750
0.500 0.000 0.250
0.500 0.000 0.750
0.000 0.000 0.388
0.000 0.000 0.612
0.500 0.500 0.112
0.500 0.500 0.888
```

Calculated values
offset from the most stable computed form	174	meV/atom
SG	No. 139
final energy	-6.492	eV/atom
energy relative to the elements	-0.482	eV per atom

Entry 14:
VASP calculation (PBE) on a relaxed TiBe4Rh5 crystal.

Geometry as POSCAR:
```
TiBe4Rh5
1.0
2.872 0.000 0.000
0.000 2.872 0.000
0.000 0.000 14.189
Ti Be Rh
1 4 5
direct
0.000 0.000 0.000
0.000 0.000 0.218
0.000 0.000 0.404
0.000 0.000 0.596
0.000 0.000 0.782
0.500 0.500 0.113
0.500 0.500 0.306
0.500 0.500 0.500
0.500 0.500 0.694
0.500 0.500 0.887
```

Calculated values
SG	No. 123
final energy	-6.616	eV/atom
energy relative to the elements	-0.660	eV per atom

Entry 15:
VASP calculation (PBE) on a relaxed Ti3BeRh crystal.

Geometry as POSCAR:
```
Ti3BeRh
1.0
4.298 0.000 0.000
0.000 4.298 0.000
0.000 0.000 4.298
Ti Be Rh
3 1 1
direct
0.000 0.000 0.500
0.000 0.500 0.000
0.500 0.000 0.000
0.000 0.000 0.000
0.500 0.500 0.500
```

Calculated values
SG	No. 221
final energy	-6.635	eV/atom
energy relative to the elements	0.318	eV per atom

Entry 16:
VASP calculation (PBE) on a relaxed TiBe8Rh3 crystal.

Geometry as POSCAR:
```
TiBe8Rh3
1.0
4.371 0.000 0.000
-2.185 3.785 0.000
0.000 0.000 7.158
Ti Be Rh
1 8 3
direct
0.000 0.000 0.000
0.165 0.331 0.682
0.165 0.835 0.682
0.333 0.667 0.439
0.333 0.667 0.936
0.502 0.005 0.196
0.502 0.498 0.196
0.669 0.835 0.682
0.995 0.498 0.196
0.000 0.000 0.354
0.667 0.333 0.504
0.667 0.333 0.889
```

Calculated values
SG	No. 156
final energy	-5.504	eV/atom
energy relative to the elements	-0.524	eV per atom

Entry 17:
VASP calculation (PBE) on a relaxed Ti2Be16Rh crystal.

Geometry as POSCAR:
```
Ti2Be16Rh
1.0
3.745 2.162 3.609
-3.745 2.162 3.609
0.000 -4.324 3.609
Ti Be Rh
2 16 1
direct
0.000 0.000 0.000
0.318 0.318 0.318
0.008 0.008 0.499
0.008 0.499 0.008
0.162 0.657 0.657
0.312 0.312 0.820
0.312 0.820 0.312
0.365 0.661 0.956
0.365 0.956 0.661
0.499 0.008 0.008
0.548 0.548 0.548
0.657 0.162 0.657
0.657 0.657 0.162
0.661 0.365 0.956
0.661 0.956 0.365
0.820 0.312 0.312
0.956 0.365 0.661
0.956 0.661 0.365
0.753 0.753 0.753
```

Calculated values
SG	No. 160
final energy	-4.610	eV/atom
energy relative to the elements	-0.254	eV per atom

Entry 18:
VASP calculation (PBE) on a relaxed TiBeRh2 crystal.

Geometry as POSCAR:
```
TiBeRh2
1.0
2.996 0.000 0.000
0.000 2.996 0.000
0.000 0.000 5.774
Ti Be Rh
1 1 2
direct
0.000 0.000 0.000
0.000 0.000 0.500
0.500 0.500 0.266
0.500 0.500 0.734
```

Calculated values
SG	No. 123
final energy	-7.352	eV/atom
energy relative to the elements	-0.771	eV per atom

Entry 19:
VASP calculation (PBE) on a relaxed TiBeRh2 crystal.

Geometry as POSCAR:
```
TiBeRh2
1.0
6.357 0.000 0.000
0.000 6.357 0.000
0.000 0.000 5.450
Ti Be Rh
4 4 8
direct
0.000 0.000 0.000
0.000 0.500 0.250
0.500 0.000 0.750
0.500 0.500 0.500
0.000 0.000 0.500
0.000 0.500 0.750
0.500 0.000 0.250
0.500 0.500 0.000
0.205 0.250 0.625
0.250 0.705 0.875
0.250 0.795 0.375
0.295 0.250 0.125
0.705 0.750 0.125
0.750 0.205 0.375
0.750 0.295 0.875
0.795 0.750 0.625
```

Calculated values
SG	No. 122
final energy	-6.903	eV/atom
energy relative to the elements	-0.322	eV per atom

Entry 20:
VASP calculation (PBE) on a relaxed Ti2BeRh6 crystal.

Geometry as POSCAR:
```
Ti2BeRh6
1.0
-2.055 2.881 5.883
2.055 -2.881 5.883
2.055 2.881 -5.883
Ti Be Rh
2 1 6
direct
0.163 0.163 0.000
0.837 0.837 0.000
0.500 0.500 0.000
0.096 0.340 0.756
0.274 0.000 0.274
0.415 0.660 0.756
0.585 0.340 0.244
0.726 0.000 0.726
0.904 0.660 0.244
```

Calculated values
SG	No. 71
final energy	-7.315	eV/atom
energy relative to the elements	-0.245	eV per atom